1.
Compound: Nd5Tl3
Source: the Alexandria database
Functional: PBE
Structure: relaxed

The structure belongs to space group I4/mcm (No. 140); the cell edges are 12.634, 12.634 and 6.275 Å and the angles 90.00°, 90.00° and 90.00°. The inequivalent atoms are Nd at (0.000, 0.500, 0.250), Nd at (0.085, 0.219, 0.000), Tl at (0.000, 0.000, 0.250) and Tl at (0.161, 0.339, 0.500).

The total moment comes out at 0.0001 μB/atom. The density of states at the Fermi level is 31.499 states/eV per cell. The total energy is -4.19 eV/atom. As for the formation energy: -318 meV/atom.

=====

2.
Compound: ZrAgBi3
Source: the Alexandria database
Functional: PBE
Structure: relaxed

The structure belongs to space group Pm-3m (No. 221); the cell edges are 5.659, 5.659 and 5.659 Å and the angles 90.00°, 90.00° and 90.00°. The inequivalent atoms are Zr at (0.000, 0.000, 0.000), Ag at (0.500, 0.500, 0.500) and Bi at (0.000, 0.000, 0.500).

The total moment comes out at 0.0000 μB/atom. The density of states at the Fermi level is 4.584 states/eV per cell. The total energy is -4.16 eV/atom. As for the formation energy: 445 meV/atom.

=====

3.
Compound: PaCdPdO4
Source: the Alexandria database
Functional: PBE
Structure: relaxed

The structure belongs to space group Imma (No. 74); the cell edges are 6.352, 7.022 and 9.918 Å and the angles 90.00°, 90.00° and 90.00°. The inequivalent atoms are Pa at (0.000, 0.000, 0.000), Cd at (0.000, 0.250, 0.334), Pd at (0.250, 0.250, 0.750), O at (0.000, 0.027, 0.783) and O at (0.213, 0.250, 0.037).

The total moment comes out at 0.1422 μB/atom. The density of states at the Fermi level is 0.488 states/eV per cell. The total energy is -6.98 eV/atom. The calculation puts the uncorrected formation energy at -1.91 eV per atom.

=====

4.
Compound: V3ZnBi
Source: the Alexandria database
Functional: PBE
Structure: relaxed

The structure belongs to space group Pm-3m (No. 221); the cell edges are 4.656, 4.656 and 4.656 Å and the angles 90.00°, 90.00° and 90.00°. The inequivalent atoms are V at (0.000, 0.000, 0.500), Zn at (0.000, 0.000, 0.000) and Bi at (0.500, 0.500, 0.500).

The total moment comes out at 1.1990 μB/atom. The density of states at the Fermi level is 9.445 states/eV per cell. The total energy is -5.50 eV/atom. As for the formation energy: 1007 meV/atom.

=====

Question: The highest total moment belongs to which entry?
Answer: V3ZnBi

=====

Question: What is the total moment in the first record?
Answer: 0.0001 μB/atom